Material: Y3HfZn
Method: DFT, PBE
State: relaxed

Values from the calculation:
calculated formation energy: 513 meV per atom
theoretical density: 5.49 Mg/m³
spin magnetization: 0.25 μB per atom

Unit cell a=5.3644 b=5.3644 c=5.3644 alpha=90.00 beta=90.00 gamma=90.00
Site moments in Bohr magnetons follow the coordinates.
Element x y z (fractional)
1 Zn 0.0000 0.0000 0.0000  -0.02
2 Y 0.5000 0.0000 0.0000  0.05
3 Y 0.0000 0.0000 0.5000  0.06
4 Y 0.0000 0.5000 0.0000  0.03
5 Hf 0.5000 0.5000 0.5000  0.48